Compound: Hf2CrPt
Source: Alexandria via LeMat-Bulk
Functional: PBE-GGA
Structure: optimized geometry

extended XYZ file:
```
4
Lattice="3.269 0.000 0.000 0.000 3.269 0.000 0.000 0.000 6.477" Properties=species:S:1:pos:R:3 pbc="T T T"
Hf 0.000 0.000 1.533
Hf 0.000 0.000 4.945
Cr 1.634 1.634 0.000
Pt 1.634 1.634 3.239
```

Results
space group = P4/mmm (123)
energy of formation from the pure elements = -52.1 kJ per mole of atoms
calculated volume = 17.30 Å³ per atom
ρ = 14.5 Mg/m³
magnetization = 0.35 Bohr magnetons per cell
polymorph energy (0 for the lowest one) = 0 meV/atom
crystal system = tetragonal